Computed, not measured: an optimized crystal structure of MnV3Mo at the PBE level of DFT.

Structure (POSCAR):
```
MnV3Mo
1.0
-1.618 -1.992 4.250
5.280 -4.636 1.915
3.649 4.499 5.179
Mo V Mn
4 12 4
Direct
0.520 0.550 0.684
0.924 0.344 0.473
0.480 0.450 0.316
0.076 0.656 0.527
0.968 0.443 0.832
0.668 0.860 0.733
0.032 0.557 0.168
0.782 0.045 0.419
0.882 0.238 0.115
0.424 0.340 0.972
0.218 0.955 0.581
0.628 0.759 0.368
0.118 0.762 0.885
0.576 0.660 0.028
0.372 0.241 0.632
0.332 0.140 0.267
0.180 0.856 0.221
0.727 0.951 0.073
0.820 0.144 0.779
0.273 0.049 0.927
```

Output
DOS at the Fermi energy in states/eV/cell: 15.45
Volume in Å³/f.u.: 67
Energy of formation in eV/atom: -0.110
Symmetry: No. 2
ΔE to the lowest computed polymorph in eV per atom: 0.0000